Entry 1:
A plane-wave DFT calculation with PBE-GGA was carried out for a relaxed BaCa2Ti crystal.

Properties
offset from the most stable computed form: 0.00 eV per formula unit
formation energy: 55 kJ/mol of atoms
crystal system: cubic

Cell and atoms, written as CIF:
```
data_BaCa2Ti
_chemical_formula_sum 'Ba4 Ca8 Ti4'
_space_group_name_H-M_alt 'F m -3 m'
_space_group_IT_number 225
_space_group_name_Hall '-F 4 2 3'
_cell_length_a 8.314
_cell_length_b 8.314
_cell_length_c 8.314
_cell_angle_alpha 90.00
_cell_angle_beta 90.00
_cell_angle_gamma 90.00
loop_
_atom_site_label
_atom_site_type_symbol
_atom_site_fract_x
_atom_site_fract_y
_atom_site_fract_z
Ba1 Ba 0.000 0.000 0.000
Ca1 Ca 0.250 0.250 0.250
Ti1 Ti 0.000 0.000 0.500
```

---

Entry 2:
A plane-wave DFT calculation with PBE-GGA was carried out for a relaxed KLiZr2 crystal.

Properties
offset from the most stable computed form: 1.45 eV per formula unit
formation energy: 65 kJ/mol of atoms
crystal system: tetragonal

Cell and atoms, written as CIF:
```
data_KLiZr2
_chemical_formula_sum 'K1 Li1 Zr2'
_space_group_name_H-M_alt 'P 4/m m m'
_space_group_IT_number 123
_space_group_name_Hall '-P 4 2'
_cell_length_a 3.387
_cell_length_b 3.387
_cell_length_c 9.468
_cell_angle_alpha 90.00
_cell_angle_beta 90.00
_cell_angle_gamma 90.00
loop_
_atom_site_label
_atom_site_type_symbol
_atom_site_fract_x
_atom_site_fract_y
_atom_site_fract_z
K1 K 0.000 0.000 0.000
Li1 Li 0.000 0.000 0.500
Zr1 Zr 0.500 0.500 0.343
```

---

Entry 3:
A plane-wave DFT calculation with PBE-GGA was carried out for a relaxed Ca3Bi3Pd2 crystal.

Properties
offset from the most stable computed form: 0.19 eV per formula unit
formation energy: -69 kJ/mol of atoms
crystal system: orthorhombic

Cell and atoms, written as CIF:
```
data_Ca3Bi3Pd2
_chemical_formula_sum 'Ca12 Bi12 Pd8'
_space_group_name_H-M_alt 'P n m a'
_space_group_IT_number 62
_cell_length_a 8.646
_cell_length_b 16.376
_cell_length_c 6.124
_cell_angle_alpha 90.00
_cell_angle_beta 90.00
_cell_angle_gamma 90.00
loop_
_space_group_symop_operation_xyz
'x,y,z'
'-x,-y,-z'
'-x+1/2,-y,z+1/2'
'x+1/2,y,-z+1/2'
'x+1/2,-y+1/2,-z+1/2'
'-x+1/2,y+1/2,z+1/2'
'-x,y+1/2,-z'
'x,-y+1/2,z'
loop_
_atom_site_label
_atom_site_type_symbol
_atom_site_fract_x
_atom_site_fract_y
_atom_site_fract_z
Ca1 Ca 0.035 0.112 0.122
Ca2 Ca 0.173 0.250 0.633
Bi1 Bi 0.181 0.750 0.625
Bi2 Bi 0.197 0.036 0.616
Pd1 Pd 0.085 0.615 0.381
```

---

Entry 4:
A plane-wave DFT calculation with PBE-GGA was carried out for a relaxed Pt3RhS crystal.

Properties
offset from the most stable computed form: 0.00 eV per formula unit
crystal system: cubic
formation energy (no corrections): 0.590 eV/atom

Cell and atoms, written as CIF:
```
data_Pt3RhS
_chemical_formula_sum 'Pt3 Rh1 S1'
_space_group_name_H-M_alt 'P m -3 m'
_space_group_IT_number 221
_space_group_name_Hall '-P 4 2 3'
_cell_length_a 4.449
_cell_length_b 4.449
_cell_length_c 4.449
_cell_angle_alpha 90.00
_cell_angle_beta 90.00
_cell_angle_gamma 90.00
loop_
_atom_site_label
_atom_site_type_symbol
_atom_site_fract_x
_atom_site_fract_y
_atom_site_fract_z
Pt1 Pt 0.000 0.000 0.500
Rh1 Rh 0.500 0.500 0.500
S1 S 0.000 0.000 0.000
```

---

Entry 5:
A plane-wave DFT calculation with PBE-GGA was carried out for a relaxed SrLi2Mg2 crystal.

Properties
offset from the most stable computed form: 0.00 eV per formula unit
formation energy: -2 kJ/mol of atoms
crystal system: triclinic

Cell and atoms, written as CIF:
```
data_SrLi2Mg2
_chemical_formula_sum 'Sr2 Li4 Mg4'
_space_group_name_H-M_alt 'P -1'
_space_group_IT_number 2
_cell_length_a 5.340
_cell_length_b 6.296
_cell_length_c 9.179
_cell_angle_alpha 108.49
_cell_angle_beta 90.20
_cell_angle_gamma 114.50
loop_
_space_group_symop_operation_xyz
'x,y,z'
'-x,-y,-z'
loop_
_atom_site_label
_atom_site_type_symbol
_atom_site_fract_x
_atom_site_fract_y
_atom_site_fract_z
Sr1 Sr 0.250 0.001 0.250
Li1 Li 0.122 0.740 0.530
Li2 Li 0.378 0.260 0.970
Mg1 Mg 0.068 0.635 0.846
Mg2 Mg 0.431 0.364 0.654
```

---

Entry 6:
A plane-wave DFT calculation with PBE-GGA was carried out for a relaxed Li8InAg5 crystal.

Properties
formation energy: -11 kJ/mol of atoms
crystal system: tetragonal

Cell and atoms, written as CIF:
```
data_Li8InAg5
_chemical_formula_sum 'Li16 In2 Ag10'
_space_group_name_H-M_alt 'I -4'
_space_group_IT_number 82
_cell_length_a 7.769
_cell_length_b 7.769
_cell_length_c 8.155
_cell_angle_alpha 90.00
_cell_angle_beta 90.00
_cell_angle_gamma 90.00
loop_
_space_group_symop_operation_xyz
'x,y,z'
'y,-x,-z'
'-x,-y,z'
'-y,x,-z'
'x+1/2,y+1/2,z+1/2'
'y+1/2,-x+1/2,-z+1/2'
'-x+1/2,-y+1/2,z+1/2'
'-y+1/2,x+1/2,-z+1/2'
loop_
_atom_site_label
_atom_site_type_symbol
_atom_site_fract_x
_atom_site_fract_y
_atom_site_fract_z
Li1 Li 0.064 0.169 0.336
Li2 Li 0.099 0.334 0.986
In1 In 0.000 0.000 0.000
Ag1 Ag 0.000 0.500 0.250
Ag2 Ag 0.128 0.293 0.664
```